LiVNO2 (PBE with a Hubbard U, relaxed); N(E_F) = 2.30 states/eV/f.u.; total DFT energy (no corrections) = -5.273 eV/atom
1.0
-3.124 0.596 1.483
-0.200 -3.376 0.934
1.680 0.792 3.222
N Li O V
1 1 2 1
Cartesian
0.840 0.396 1.611
0.000 0.000 0.000
-0.100 -1.688 0.467
-1.562 0.298 0.741
-0.822 -0.994 2.819